Entry 1:
# WS3N (SCAN, single point on PBEsol structure)
data_WS3N
_space_group_name_H-M_alt 'P 1'
_space_group_IT_number 1
_cell_length_a 3.964
_cell_length_b 3.964
_cell_length_c 3.964
_cell_angle_alpha 90.00
_cell_angle_beta 90.00
_cell_angle_gamma 90.00
loop_
_space_group_symop_operation_xyz
'x,y,z'
loop_
_atom_site_label
_atom_site_fract_x
_atom_site_fract_y
_atom_site_fract_z
S1 0.000 0.500 0.000
S2 0.000 0.000 0.500
S3 0.500 0.000 0.000
W1 0.500 0.500 0.500
N1 0.000 0.000 0.000
# crystal system	cubic
# ΔE_f (raw)	1.44	eV per atom

***

Entry 2:
# AgTeN2O (SCAN, single point on PBEsol structure)
data_AgTeN2O
_space_group_name_H-M_alt 'P 1'
_space_group_IT_number 1
_cell_length_a 3.917
_cell_length_b 3.987
_cell_length_c 3.987
_cell_angle_alpha 90.00
_cell_angle_beta 90.00
_cell_angle_gamma 90.00
loop_
_space_group_symop_operation_xyz
'x,y,z'
loop_
_atom_site_label
_atom_site_fract_x
_atom_site_fract_y
_atom_site_fract_z
Te1 0.000 0.000 0.000
O1 0.500 0.000 0.000
Ag1 0.500 0.500 0.500
N1 0.000 0.000 0.500
N2 0.000 0.500 0.000
# crystal system	tetragonal
# ΔE_f (raw)	0.99	eV per atom

***

Entry 3:
# NaNi3H (SCAN, single point on PBEsol structure)
data_NaNi3H
_space_group_name_H-M_alt 'P 1'
_space_group_IT_number 1
_cell_length_a 3.690
_cell_length_b 3.690
_cell_length_c 3.690
_cell_angle_alpha 90.00
_cell_angle_beta 90.00
_cell_angle_gamma 90.00
loop_
_space_group_symop_operation_xyz
'x,y,z'
loop_
_atom_site_label
_atom_site_fract_x
_atom_site_fract_y
_atom_site_fract_z
Ni1 0.000 0.500 0.000
Ni2 0.000 0.000 0.500
Ni3 0.500 0.000 0.000
H1 0.000 0.000 0.000
Na1 0.500 0.500 0.500
# raw total energy	-10.862	eV per atom
# crystal system	cubic

***

Entry 4:
# NaSr2Au2 (SCAN, single point on PBEsol structure)
data_NaSr2Au2
_space_group_name_H-M_alt 'P 1'
_space_group_IT_number 1
_cell_length_a 4.202
_cell_length_b 8.250
_cell_length_c 8.250
_cell_angle_alpha 90.00
_cell_angle_beta 90.00
_cell_angle_gamma 90.00
loop_
_space_group_symop_operation_xyz
'x,y,z'
loop_
_atom_site_label
_atom_site_fract_x
_atom_site_fract_y
_atom_site_fract_z
Sr1 0.500 0.169 0.669
Sr2 0.500 0.669 0.831
Sr3 0.500 0.831 0.331
Sr4 0.500 0.331 0.169
Au1 0.000 0.376 0.876
Au2 0.000 0.876 0.624
Au3 0.000 0.624 0.124
Au4 0.000 0.124 0.376
Na1 0.000 0.000 0.000
Na2 0.000 0.500 0.500
# crystal system	tetragonal
# ΔE_f	-3.764	eV per formula unit

***

Entry 5:
# CdPbCl2 (SCAN, single point on PBEsol structure)
data_CdPbCl2
_space_group_name_H-M_alt 'P 1'
_space_group_IT_number 1
_cell_length_a 3.982
_cell_length_b 3.982
_cell_length_c 8.628
_cell_angle_alpha 76.66
_cell_angle_beta 76.66
_cell_angle_gamma 60.00
loop_
_space_group_symop_operation_xyz
'x,y,z'
loop_
_atom_site_label
_atom_site_fract_x
_atom_site_fract_y
_atom_site_fract_z
Pb1 0.500 0.500 0.501
Cl1 0.978 0.978 0.067
Cl2 0.766 0.766 0.702
Cd1 0.256 0.256 0.231
# crystal system	trigonal
# ΔE_f (raw)	-0.75	eV per atom

***

Entry 6:
# Sr2Nd2TlNi2O9 (SCAN, single point on PBEsol structure)
data_Sr2Nd2TlNi2O9
_space_group_name_H-M_alt 'P 1'
_space_group_IT_number 1
_cell_length_a 3.735
_cell_length_b 3.735
_cell_length_c 15.020
_cell_angle_alpha 97.12
_cell_angle_beta 97.12
_cell_angle_gamma 90.15
loop_
_space_group_symop_operation_xyz
'x,y,z'
loop_
_atom_site_label
_atom_site_fract_x
_atom_site_fract_y
_atom_site_fract_z
Sr1 0.411 0.420 0.831
Sr2 0.580 0.589 0.169
Nd1 0.293 0.302 0.594
Nd2 0.698 0.707 0.406
Tl1 0.981 0.019 0.000
Ni1 0.852 0.860 0.711
Ni2 0.140 0.148 0.289
O1 0.919 0.923 0.842
O2 0.077 0.081 0.158
O3 0.845 0.354 0.699
O4 0.345 0.854 0.699
O5 0.146 0.655 0.301
O6 0.646 0.155 0.301
O7 0.778 0.786 0.564
O8 0.214 0.222 0.436
O9 0.521 0.479 0.000
# crystal system	orthorhombic
# ΔE_f (raw)	-2.44	eV per atom

***

Entry 7:
# InPdNO2 (SCAN, single point on PBEsol structure)
data_InPdNO2
_space_group_name_H-M_alt 'P 1'
_space_group_IT_number 1
_cell_length_a 3.722
_cell_length_b 4.033
_cell_length_c 4.033
_cell_angle_alpha 90.00
_cell_angle_beta 90.00
_cell_angle_gamma 90.00
loop_
_space_group_symop_operation_xyz
'x,y,z'
loop_
_atom_site_label
_atom_site_fract_x
_atom_site_fract_y
_atom_site_fract_z
N1 0.500 0.000 0.000
O1 0.000 0.000 0.500
O2 0.000 0.500 0.000
Pd1 0.000 0.000 0.000
In1 0.500 0.500 0.500
# crystal system	tetragonal
# ΔE_f (raw)	0.21	eV per atom

***

Entry 8:
# Cu2HgW (SCAN, single point on PBEsol structure)
data_Cu2HgW
_space_group_name_H-M_alt 'P 1'
_space_group_IT_number 1
_cell_length_a 2.699
_cell_length_b 4.131
_cell_length_c 5.379
_cell_angle_alpha 90.00
_cell_angle_beta 104.53
_cell_angle_gamma 90.00
loop_
_space_group_symop_operation_xyz
'x,y,z'
loop_
_atom_site_label
_atom_site_fract_x
_atom_site_fract_y
_atom_site_fract_z
Cu1 0.817 0.000 0.635
Cu2 0.687 0.500 0.373
Hg1 0.075 0.000 0.150
W1 0.414 0.500 0.828
# crystal system	orthorhombic
# ΔE_f	2.153	eV per formula unit

***

Entry 9:
# CdFeW2 (SCAN, single point on PBEsol structure)
data_CdFeW2
_space_group_name_H-M_alt 'P 1'
_space_group_IT_number 1
_cell_length_a 2.856
_cell_length_b 4.721
_cell_length_c 5.037
_cell_angle_alpha 110.53
_cell_angle_beta 106.47
_cell_angle_gamma 90.00
loop_
_space_group_symop_operation_xyz
'x,y,z'
loop_
_atom_site_label
_atom_site_fract_x
_atom_site_fract_y
_atom_site_fract_z
Cd1 0.478 0.448 0.956
Fe1 0.727 0.280 0.454
W1 0.031 0.990 0.062
W2 0.264 0.782 0.528
# crystal system	monoclinic
# ΔE_f	2.570	eV per formula unit

***

Entry 10:
# SrGeO2 (SCAN, single point on PBEsol structure)
data_SrGeO2
_space_group_name_H-M_alt 'P 1'
_space_group_IT_number 1
_cell_length_a 3.367
_cell_length_b 3.367
_cell_length_c 6.880
_cell_angle_alpha 75.83
_cell_angle_beta 75.83
_cell_angle_gamma 60.00
loop_
_space_group_symop_operation_xyz
'x,y,z'
loop_
_atom_site_label
_atom_site_fract_x
_atom_site_fract_y
_atom_site_fract_z
Sr1 0.000 0.000 0.000
Ge1 0.500 0.500 0.500
O1 0.880 0.880 0.361
O2 0.120 0.120 0.639
# crystal system	trigonal
# ΔE_f (raw)	-0.97	eV per atom

***

Entry 11:
# RbNa2Au2 (SCAN, single point on PBEsol structure)
data_RbNa2Au2
_space_group_name_H-M_alt 'P 1'
_space_group_IT_number 1
_cell_length_a 4.682
_cell_length_b 4.682
_cell_length_c 7.277
_cell_angle_alpha 108.77
_cell_angle_beta 108.77
_cell_angle_gamma 90.00
loop_
_space_group_symop_operation_xyz
'x,y,z'
loop_
_atom_site_label
_atom_site_fract_x
_atom_site_fract_y
_atom_site_fract_z
Na1 0.250 0.750 0.500
Na2 0.750 0.250 0.500
Au1 0.396 0.396 0.792
Au2 0.604 0.604 0.208
Rb1 0.000 0.000 0.000
# crystal system	tetragonal
# ΔE_f	-1.881	eV per formula unit

***

Entry 12:
# CsSc2I (SCAN, single point on PBEsol structure)
data_CsSc2I
_space_group_name_H-M_alt 'P 1'
_space_group_IT_number 1
_cell_length_a 3.561
_cell_length_b 3.561
_cell_length_c 11.365
_cell_angle_alpha 80.99
_cell_angle_beta 80.99
_cell_angle_gamma 60.00
loop_
_space_group_symop_operation_xyz
'x,y,z'
loop_
_atom_site_label
_atom_site_fract_x
_atom_site_fract_y
_atom_site_fract_z
Cs1 0.000 0.000 0.000
I1 0.500 0.500 0.500
Sc1 0.900 0.900 0.300
Sc2 0.100 0.100 0.700
# crystal system	trigonal
# ΔE_f (raw)	0.18	eV per atom

***

Number 9 is which compound? CdFeW2